(1)
CdI2 (PBE, optimized geometry); E = -1.9201 eV/atom; symmetry = No. 33
1.0
7.698 0.000 0.000
0.000 9.016 0.000
0.000 0.000 7.364
Cd I
4 8
Direct
0.086 0.124 0.000 Cd
0.414 0.624 0.500 Cd
0.586 0.376 0.000 Cd
0.914 0.876 0.500 Cd
0.072 0.616 0.638 I
0.090 0.135 0.616 I
0.410 0.635 0.116 I
0.428 0.116 0.138 I
0.572 0.884 0.638 I
0.590 0.365 0.616 I
0.910 0.865 0.116 I
0.928 0.384 0.138 I


(2)
CdI2 (PBE, optimized geometry); E = -1.8991 eV/atom; symmetry = No. 156
1.0
4.291 0.000 0.000
-2.145 3.716 0.000
0.000 0.000 90.530
Cd I
13 26
Direct
0.000 0.000 0.000 Cd
0.000 0.000 0.077 Cd
0.000 0.000 0.154 Cd
0.000 0.000 0.231 Cd
0.000 0.000 0.385 Cd
0.000 0.000 0.692 Cd
0.000 0.000 0.846 Cd
0.667 0.333 0.308 Cd
0.667 0.333 0.462 Cd
0.667 0.333 0.538 Cd
0.667 0.333 0.615 Cd
0.667 0.333 0.769 Cd
0.667 0.333 0.923 Cd
0.000 0.000 0.327 I
0.000 0.000 0.481 I
0.000 0.000 0.558 I
0.000 0.000 0.634 I
0.000 0.000 0.788 I
0.000 0.000 0.942 I
0.333 0.667 0.058 I
0.333 0.667 0.135 I
0.333 0.667 0.212 I
0.333 0.667 0.289 I
0.333 0.667 0.365 I
0.333 0.667 0.442 I
0.333 0.667 0.519 I
0.333 0.667 0.596 I
0.333 0.667 0.673 I
0.333 0.667 0.750 I
0.333 0.667 0.827 I
0.333 0.667 0.904 I
0.333 0.667 0.981 I
0.667 0.333 0.019 I
0.667 0.333 0.096 I
0.667 0.333 0.173 I
0.667 0.333 0.250 I
0.667 0.333 0.404 I
0.667 0.333 0.711 I
0.667 0.333 0.865 I


(3)
CdI2 (PBE, optimized geometry); E = -1.8996 eV/atom; symmetry = No. 160
1.0
2.145 1.239 55.807
-2.145 1.239 55.807
0.000 -2.477 55.807
Cd I
8 16
Direct
0.000 0.000 0.000 Cd
0.042 0.042 0.042 Cd
0.125 0.125 0.125 Cd
0.208 0.208 0.208 Cd
0.583 0.583 0.583 Cd
0.625 0.625 0.625 Cd
0.750 0.750 0.750 Cd
0.833 0.833 0.833 Cd
0.073 0.073 0.073 I
0.156 0.156 0.156 I
0.260 0.260 0.260 I
0.302 0.302 0.302 I
0.344 0.344 0.344 I
0.385 0.385 0.385 I
0.427 0.427 0.427 I
0.469 0.469 0.469 I
0.510 0.510 0.510 I
0.552 0.552 0.552 I
0.656 0.656 0.656 I
0.698 0.698 0.698 I
0.781 0.781 0.781 I
0.865 0.865 0.865 I
0.906 0.906 0.906 I
0.948 0.948 0.948 I


(4)
CdI2 (PBE, optimized geometry); E = -1.4708 eV/atom; symmetry = No. 65
1.0
1.953 -7.022 0.000
1.953 7.022 0.000
0.000 0.000 3.878
Cd I
1 2
Direct
0.000 0.000 0.000 Cd
0.371 0.629 0.500 I
0.629 0.371 0.500 I


(5)
Cd2I (PBE, optimized geometry); E = -1.0792 eV/atom; relative energy among the computed polymorphs = 0.48 eV/f.u.; symmetry = No. 227
1.0
0.000 4.388 4.388
4.388 0.000 4.388
4.388 4.388 0.000
Cd I
4 2
Direct
0.000 0.000 0.000 Cd
0.000 0.000 0.500 Cd
0.000 0.500 0.000 Cd
0.500 0.000 0.000 Cd
0.375 0.375 0.375 I
0.625 0.625 0.625 I


(6)
CdI2 (PBE, optimized geometry); E = -0.8842 eV/atom; symmetry = No. 227
1.0
0.000 4.878 4.878
4.878 0.000 4.878
4.878 4.878 0.000
Cd I
2 4
Direct
0.125 0.125 0.125 Cd
0.875 0.875 0.875 Cd
0.000 0.500 0.500 I
0.500 0.000 0.500 I
0.500 0.500 0.000 I
0.500 0.500 0.500 I


(7)
Cd2I (PBE, optimized geometry); E = -1.1464 eV/atom; relative energy among the computed polymorphs = 0.28 eV/f.u.; symmetry = No. 139
1.0
-1.856 1.856 6.026
1.856 -1.856 6.026
1.856 1.856 -6.026
Cd I
2 1
Direct
0.178 0.178 0.000 Cd
0.822 0.822 0.000 Cd
0.500 0.500 0.000 I


(8)
CdI2 (PBE, optimized geometry); E = -1.8999 eV/atom; symmetry = No. 143
1.0
7.480 0.000 0.000
-3.740 6.478 0.000
0.000 0.000 6.921
Cd I
3 6
Direct
0.000 0.000 0.000 Cd
0.333 0.667 0.005 Cd
0.667 0.333 0.013 Cd
0.002 0.669 0.253 I
0.331 0.332 0.253 I
0.336 0.002 0.758 I
0.666 0.664 0.758 I
0.668 0.998 0.253 I
0.998 0.334 0.758 I


(9)
CdI2 (PBE, optimized geometry); E = -1.9326 eV/atom; symmetry = No. 217
1.0
-6.383 6.383 6.383
6.383 -6.383 6.383
6.383 6.383 -6.383
Cd I
6 12
Direct
0.250 0.500 0.750 Cd
0.250 0.750 0.500 Cd
0.500 0.250 0.750 Cd
0.500 0.750 0.250 Cd
0.750 0.250 0.500 Cd
0.750 0.500 0.250 Cd
0.000 0.506 0.762 I
0.000 0.762 0.506 I
0.238 0.238 0.744 I
0.238 0.744 0.238 I
0.256 0.494 0.494 I
0.494 0.256 0.494 I
0.494 0.494 0.256 I
0.506 0.000 0.762 I
0.506 0.762 0.000 I
0.744 0.238 0.238 I
0.762 0.000 0.506 I
0.762 0.506 0.000 I


(10)
CdI2 (PBE, optimized geometry); E = -1.8997 eV/atom; symmetry = No. 166
1.0
2.145 1.238 69.768
-2.145 1.238 69.768
0.000 -2.477 69.768
Cd I
10 20
Direct
0.000 0.000 0.000 Cd
0.033 0.033 0.033 Cd
0.067 0.067 0.067 Cd
0.100 0.100 0.100 Cd
0.133 0.133 0.133 Cd
0.500 0.500 0.500 Cd
0.867 0.867 0.867 Cd
0.900 0.900 0.900 Cd
0.933 0.933 0.933 Cd
0.967 0.967 0.967 Cd
0.158 0.158 0.158 I
0.192 0.192 0.192 I
0.225 0.225 0.225 I
0.258 0.258 0.258 I
0.292 0.292 0.292 I
0.325 0.325 0.325 I
0.358 0.358 0.358 I
0.392 0.392 0.392 I
0.425 0.425 0.425 I
0.458 0.458 0.458 I
0.542 0.542 0.542 I
0.575 0.575 0.575 I
0.608 0.608 0.608 I
0.642 0.642 0.642 I
0.675 0.675 0.675 I
0.708 0.708 0.708 I
0.742 0.742 0.742 I
0.775 0.775 0.775 I
0.808 0.808 0.808 I
0.842 0.842 0.842 I


(11)
Cd2I (PBE, optimized geometry); E = -1.2385 eV/atom; relative energy among the computed polymorphs = 0.00 eV/f.u.; symmetry = No. 166
1.0
2.021 1.167 6.360
-2.021 1.167 6.360
0.000 -2.334 6.360
Cd I
2 1
Direct
0.215 0.215 0.215 Cd
0.785 0.785 0.785 Cd
0.000 0.000 0.000 I


(12)
CdI (PBE, optimized geometry); E = -1.3474 eV/atom; symmetry = No. 187
1.0
4.183 0.000 0.000
-2.091 3.623 0.000
0.000 0.000 4.303
Cd I
1 1
Direct
0.000 0.000 0.000 Cd
0.667 0.333 0.500 I


Question: Which of these has the highest E?
Answer: number 6